Record 1
Computed, not measured: a geometry-optimized Ac2Pr5Nd3 structure at the PBE-GGA level of DFT.

Lattice parameters (Å, degrees): 11.235 14.689 10.778 90.00 121.41 90.00
Space group C2/c (No. 15)
Symmetry-distinct sites (fractional):
Ac: 0.152 0.124 0.054 (multiplicity 8)
Pr: 0.000 0.240 0.250 (multiplicity 4)
Pr: 0.000 0.274 0.750 (multiplicity 4)
Pr: 0.000 0.490 0.750 (multiplicity 4)
Pr: 0.248 0.125 0.749 (multiplicity 8)
Nd: 0.000 0.024 0.250 (multiplicity 4)
Nd: 0.154 0.375 0.559 (multiplicity 8)

Values from the calculation:
Offset from the most stable computed form (meV per atom): 0.0
DFT formation energy (eV per atom): 0.178



Record 2
Computed, not measured: a geometry-optimized Mn2Ir structure at the PBE-GGA level of DFT.

Lattice parameters (Å, degrees): 2.613 3.609 7.780 90.00 90.00 90.00
Space group Immm (No. 71)
Symmetry-distinct sites (fractional):
Mn: 0.000 0.000 0.170 (multiplicity 4)
Ir: 0.000 0.000 0.500 (multiplicity 2)

Values from the calculation:
DFT formation energy (eV per atom): -0.042



Record 3
Computed, not measured: a geometry-optimized RbReNi structure at the PBE-GGA level of DFT.

Lattice parameters (Å, degrees): 4.137 4.138 12.227 99.17 90.29 119.98
Space group P1 (No. 1)
Symmetry-distinct sites (fractional):
Rb: 0.000 0.000 0.000 (multiplicity 1)
Rb: 0.202 0.389 0.610 (multiplicity 1)
Re: 0.408 0.808 0.223 (multiplicity 1)
Re: 0.770 0.530 0.309 (multiplicity 1)
Ni: 0.110 0.209 0.330 (multiplicity 1)
Ni: 0.473 0.932 0.418 (multiplicity 1)

Values from the calculation:
Offset from the most stable computed form (meV per atom): 94.1
DFT formation energy (eV per atom): 0.627



Record 4
Computed, not measured: a geometry-optimized Pr7Tl2Cd2 structure at the PBE-GGA level of DFT.

Lattice parameters (Å, degrees): 7.949 11.426 8.417 90.00 90.00 90.00
Space group Cmmm (No. 65)
Symmetry-distinct sites (fractional):
Pr: 0.000 0.000 0.000 (multiplicity 2)
Pr: 0.000 0.500 0.271 (multiplicity 4)
Pr: 0.250 0.250 0.292 (multiplicity 8)
Tl: 0.000 0.298 0.000 (multiplicity 4)
Cd: 0.172 0.000 0.500 (multiplicity 4)

Values from the calculation:
DFT formation energy (eV per atom): -0.018



Record 5
Computed, not measured: a geometry-optimized DyAl11Fe structure at the PBE-GGA level of DFT.

Lattice parameters (Å, degrees): 5.144 12.534 7.111 90.00 109.21 90.00
Space group C2/m (No. 12)
Symmetry-distinct sites (fractional):
Dy: 0.000 0.000 0.000 (multiplicity 2)
Al: 0.000 0.000 0.500 (multiplicity 2)
Al: 0.107 0.393 0.230 (multiplicity 8)
Al: 0.194 0.172 0.362 (multiplicity 8)
Al: 0.250 0.250 0.000 (multiplicity 4)
Fe: 0.000 0.500 0.500 (multiplicity 2)

Values from the calculation:
DFT formation energy (eV per atom): -0.184



Record 6
Computed, not measured: a geometry-optimized TeICl2 structure at the PBE-GGA level of DFT.

Lattice parameters (Å, degrees): 7.878 6.209 12.806 90.00 90.00 90.00
Space group Pnna (No. 52)
Symmetry-distinct sites (fractional):
Te: 0.250 0.000 0.085 (multiplicity 4)
I: 0.052 0.250 0.250 (multiplicity 4)
Cl: 0.119 0.228 0.951 (multiplicity 8)

Values from the calculation:
E_form (uncorrected) (kcal/mol of atoms): -7.270
Offset from the most stable computed form (meV per atom): 0.0



Record 7
Computed, not measured: a geometry-optimized La2SmBi structure at the PBE-GGA level of DFT.

Lattice parameters (Å, degrees): 4.355 4.355 7.165 90.00 90.00 90.00
Space group P4/mmm (No. 123)
Symmetry-distinct sites (fractional):
La: 0.000 0.000 0.224 (multiplicity 2)
Sm: 0.500 0.500 0.500 (multiplicity 1)
Bi: 0.500 0.500 0.000 (multiplicity 1)

Values from the calculation:
Offset from the most stable computed form (meV per atom): 58.4
DFT formation energy (eV per atom): -0.421



Record 8
Computed, not measured: a geometry-optimized Tb3ErCd structure at the PBE-GGA level of DFT.

Lattice parameters (Å, degrees): 13.583 13.507 6.746 90.00 98.97 90.00
Space group C2/c (No. 15)
Symmetry-distinct sites (fractional):
Tb: 0.103 0.072 0.110 (multiplicity 8)
Tb: 0.164 0.339 0.024 (multiplicity 8)
Tb: 0.192 0.420 0.529 (multiplicity 8)
Er: 0.106 0.185 0.638 (multiplicity 8)
Cd: 0.000 0.283 0.250 (multiplicity 4)
Cd: 0.000 0.482 0.750 (multiplicity 4)

Values from the calculation:
Offset from the most stable computed form (meV per atom): 75.2
DFT formation energy (eV per atom): 0.051



Repeat the second record exactly.
Computed, not measured: a geometry-optimized Mn2Ir structure at the PBE-GGA level of DFT.

Lattice parameters (Å, degrees): 2.613 3.609 7.780 90.00 90.00 90.00
Space group Immm (No. 71)
Symmetry-distinct sites (fractional):
Mn: 0.000 0.000 0.170 (multiplicity 4)
Ir: 0.000 0.000 0.500 (multiplicity 2)

Values from the calculation:
DFT formation energy (eV per atom): -0.042